## Cs2UMn2O6 (PBE+U)

Data for a relaxed Cs2UMn2O6 crystal.

```
11
Lattice="3.163 1.826 6.340 -3.163 1.826 6.340 0.000 -3.652 6.340" Properties=species:S:1:pos:R:3 pbc="T T T"
Cs 0.000 0.000 3.982
Cs 0.000 0.000 15.037
U 0.000 0.000 0.000
Mn 0.000 0.000 7.574
Mn 0.000 0.000 11.446
O 0.000 -1.965 7.605
O -1.702 0.983 7.605
O -1.702 -0.983 11.414
O 1.702 0.983 7.605
O 1.702 -0.983 11.414
O 0.000 1.965 11.414
```

Results
**E**: -0.54295 Ry/atom